1.
DFT (PBE) results for a relaxed Li2RhSe2 crystal.

Summary:
- Formation energy (no corrections): -0.6306 eV/atom

Lattice parameters (Å, degrees): 6.7559 6.7559 3.7230 90.00 90.00 90.00
Closest atoms and distances in Å follow each position.
Space group P4/mbm (No. 127)
Asymmetric unit:
Li (0.1437, 0.3563, 0.0000)  6 Se 2.58-2.82, 1 Li 2.75
Rh (0.0000, 0.0000, 0.5000)  4 Se 2.51
Se (0.1690, 0.6690, 0.5000)  2 Rh 2.51, 2 Li 2.58


2.
DFT (PBE) results for a relaxed CrAs2Ir crystal.

Summary:
- ΔE to the lowest computed polymorph: 173.3 meV per atom
- Energy relative to the elements: 0.132 eV per atom

Lattice parameters (Å, degrees): 6.1313 6.1313 6.1313 90.00 90.00 90.00
Closest atoms and distances in Å follow each position.
Space group Fm-3m (No. 225)
Asymmetric unit:
Cr (0.0000, 0.0000, 0.0000)  8 As 2.65
As (0.2500, 0.2500, 0.2500)  4 Cr 2.65, 4 Ir 2.65
Ir (0.0000, 0.0000, 0.5000)  8 As 2.65


3.
DFT (PBE) results for a relaxed SmErAl crystal.

Summary:
- ΔE to the lowest computed polymorph: 210.9 meV per atom
- Energy relative to the elements: -0.026 eV per atom

Lattice parameters (Å, degrees): 3.4801 3.4801 23.7837 90.00 90.00 120.00
Closest atoms and distances in Å follow each position.
Space group R3m (No. 160, hexagonal axes)
Asymmetric unit:
Sm (0.0000, 0.0000, 0.0000)  3 Al 3.25, 6 Sm 3.48, 3 Er 3.61
Er (0.0000, 0.0000, 0.7927)  3 Al 3.11, 6 Er 3.48
Al (0.0000, 0.0000, 0.2261)  3 Er 3.11, 3 Sm 3.25, 6 Al 3.48


4.
DFT (PBE) results for a relaxed AsIrAu2 crystal.

Summary:
- Energy relative to the elements: 0.378 eV per atom

Lattice parameters (Å, degrees): 3.8452 3.8452 9.3266 90.00 90.00 90.00
Closest atoms and distances in Å follow each position.
Space group I4/mmm (No. 139)
Asymmetric unit:
As (0.0000, 0.0000, 0.0000)  4 Ir 2.72, 8 Au 3.02
Ir (0.0000, 0.0000, 0.5000)  4 As 2.72, 8 Au 3.02
Au (0.0000, 0.5000, 0.2500)  4 Au 2.72, 4 As 3.02, 4 Ir 3.02


5.
DFT (PBE) results for a relaxed Tb5SmBi6 crystal.

Summary:
- Energy relative to the elements: -0.887 eV per atom

Lattice parameters (Å, degrees): 7.8025 13.5141 7.8006 90.00 109.49 90.00
Closest atoms and distances in Å follow each position.
Space group C2/m (No. 12)
Asymmetric unit:
Tb (0.0000, 0.0000, 0.0000)  6 Bi 3.17-3.18
Tb (0.0000, 0.1672, 0.5000)  6 Bi 3.18
Tb (0.0000, 0.3346, 0.0000)  6 Bi 3.17-3.19
Sm (0.0000, 0.5000, 0.5000)  6 Bi 3.20-3.21
Bi (0.2475, 0.0000, 0.7505)  5 Tb 3.17-3.18, 1 Sm 3.20
Bi (0.2480, 0.1679, 0.2481)  5 Tb 3.17-3.19, 1 Sm 3.21


6.
DFT (PBE) results for a relaxed V2Fe2Co crystal.

Summary:
- ΔE to the lowest computed polymorph: 0.0 meV per atom
- Energy relative to the elements: -0.088 eV per atom

Lattice parameters (Å, degrees): 2.8973 20.1198 4.0373 90.00 90.00 90.00
Closest atoms and distances in Å follow each position.
Space group Cmcm (No. 63)
Asymmetric unit:
V (0.0000, 0.0489, 0.2500)  2 Co 2.44, 6 Fe 2.49
V (0.0000, 0.1555, 0.7500)  4 Fe 2.36-2.54, 4 Co 2.49
Fe (0.0000, 0.2521, 0.2500)  2 V 2.36, 4 Fe 2.49, 2 Co 2.57
Fe (0.0000, 0.4480, 0.2500)  8 V 2.49-2.54, 2 Co 2.78
Co (0.0000, 0.3533, 0.7500)  6 V 2.44-2.49, 2 Fe 2.57


7.
DFT (PBE) results for a relaxed Co2TcHPd crystal.

Summary:
- ΔE to the lowest computed polymorph: 66.2 meV per atom

Lattice parameters (Å, degrees): 3.8246 3.8246 3.6948 90.00 90.00 90.00
Closest atoms and distances in Å follow each position.
Space group P4/mmm (No. 123)
Asymmetric unit:
Co (0.0000, 0.5000, 0.0000)  2 H 1.91
Tc (0.0000, 0.0000, 0.5000)  8 Co 2.66, 4 Pd 2.70
H (0.5000, 0.5000, 0.0000)  2 Pd 1.85, 4 Co 1.91
Pd (0.5000, 0.5000, 0.5000)  2 H 1.85


8.
DFT (PBE) results for a relaxed La7Tb2Cd2 crystal.

Summary:
- Energy relative to the elements: 0.023 eV per atom

Lattice parameters (Å, degrees): 9.2440 10.1598 8.1770 90.00 101.59 90.00
Closest atoms and distances in Å follow each position.
Space group C2/m (No. 12)
Asymmetric unit:
La (0.0000, 0.0000, 0.0000)  4 La 3.54, 2 Cd 3.58
La (0.1647, 0.5000, 0.4925)  3 La 3.07-3.41, 1 Cd 3.27
La (0.1919, 0.2821, 0.1838)  3 Cd 3.34-3.50, 3 La 3.41-3.54, 2 Tb 3.48-3.61
Tb (0.0000, 0.1667, 0.5000)  1 Tb 3.39, 8 La 3.48-3.72
Cd (0.1061, 0.5000, 0.8734)  1 Cd 3.13, 6 La 3.27-3.49